The following is a PBE calculation of a geometry-optimized YReP2 structure, from the Alexandria database.

Computed properties:
- Size of the total moment: 0.00 Bohr magnetons per cell
- Energy above the most stable polymorph in this dataset: 0.018 eV per atom

Lattice parameters (Å, degrees): 3.965 3.965 5.964 104.79 104.79 51.39
Positions (direct):
Y (0.000, 0.000, 0.000)
Re (0.500, 0.500, 0.500)
P (0.241, 0.241, 0.694)
P (0.759, 0.759, 0.306)

---

The following is a PBE calculation of a geometry-optimized YReP structure, from the Alexandria database.

Computed properties:
- Size of the total moment: 1.23 Bohr magnetons per cell
- Energy above the most stable polymorph in this dataset: 1.574 eV per atom

Lattice parameters (Å, degrees): 4.580 4.580 4.580 60.00 60.00 60.00
Positions (direct):
Y (0.000, 0.000, 0.000)
Re (0.750, 0.750, 0.750)
P (0.250, 0.250, 0.250)

---

The following is a PBE calculation of a geometry-optimized YReP2 structure, from the Alexandria database.

Computed properties:
- Size of the total moment: 0.00 Bohr magnetons per cell
- Energy above the most stable polymorph in this dataset: 0.250 eV per atom

Lattice parameters (Å, degrees): 4.701 4.701 4.701 129.93 111.12 89.87
Positions (direct):
Y (0.000, 0.000, 0.000)
Re (0.500, 0.500, 0.000)
P (0.297, 0.797, 0.500)
P (0.703, 0.203, 0.500)

---

The following is a PBE calculation of a geometry-optimized YRe3P structure, from the Alexandria database.

Computed properties:
- Size of the total moment: 2.29 Bohr magnetons per cell
- Energy above the most stable polymorph in this dataset: 3.044 eV per atom

Lattice parameters (Å, degrees): 4.844 4.844 4.844 90.00 90.00 90.00
Positions (direct):
Y (0.000, 0.000, 0.000)
Re (0.000, 0.000, 0.500)
Re (0.000, 0.500, 0.000)
Re (0.500, 0.000, 0.000)
P (0.500, 0.500, 0.500)

---

The following is a PBE calculation of a geometry-optimized YRe2P structure, from the Alexandria database.

Computed properties:
- Size of the total moment: 0.00 Bohr magnetons per cell
- Electronic total energy: -8.62 eV/atom

Lattice parameters (Å, degrees): 4.978 4.978 3.109 90.00 90.00 115.92
Positions (direct):
Y (0.000, 0.000, 0.000)
Re (0.000, 0.500, 0.500)
Re (0.500, 0.000, 0.500)
P (0.500, 0.500, 0.000)

---

The following is a PBE calculation of a geometry-optimized YRe3P structure, from the Alexandria database.

Computed properties:
- Size of the total moment: 1.52 Bohr magnetons per cell
- Energy above the most stable polymorph in this dataset: 0.000 eV per atom

Lattice parameters (Å, degrees): 4.487 4.487 4.487 90.00 90.00 90.00
Positions (direct):
Y (0.000, 0.000, 0.000)
Re (0.000, 0.500, 0.500)
Re (0.500, 0.000, 0.500)
Re (0.500, 0.500, 0.000)
P (0.500, 0.500, 0.500)

---

The following is a PBE calculation of a geometry-optimized YReP2 structure, from the Alexandria database.

Computed properties:
- Size of the total moment: 0.00 Bohr magnetons per cell
- Energy above the most stable polymorph in this dataset: 0.288 eV per atom

Lattice parameters (Å, degrees): 4.505 4.505 4.505 60.00 60.00 60.00
Positions (direct):
Y (0.000, 0.000, 0.000)
Re (0.500, 0.500, 0.500)
P (0.250, 0.250, 0.250)
P (0.750, 0.750, 0.750)

---

The following is a PBE calculation of a geometry-optimized Y4ReP structure, from the Alexandria database.

Computed properties:
- Size of the total moment: 0.79 Bohr magnetons per cell
- Electronic total energy: -6.34 eV/atom

Lattice parameters (Å, degrees): 5.921 5.921 5.921 60.00 60.00 60.00
Positions (direct):
Y (0.377, 0.377, 0.377)
Y (0.377, 0.377, 0.870)
Y (0.377, 0.870, 0.377)
Y (0.870, 0.377, 0.377)
Re (0.750, 0.750, 0.750)
P (0.000, 0.000, 0.000)

---

The following is a PBE calculation of a geometry-optimized YReP2 structure, from the Alexandria database.

Computed properties:
- Size of the total moment: 0.00 Bohr magnetons per cell
- Energy above the most stable polymorph in this dataset: 0.352 eV per atom

Lattice parameters (Å, degrees): 7.421 7.421 7.421 137.15 137.15 62.21
Positions (direct):
Y (0.000, 0.000, 0.000)
Y (0.750, 0.250, 0.500)
Re (0.250, 0.750, 0.500)
Re (0.500, 0.500, 0.000)
P (0.206, 0.625, 0.081)
P (0.375, 0.456, 0.581)
P (0.544, 0.125, 0.919)
P (0.875, 0.794, 0.419)

---

The following is a PBE calculation of a geometry-optimized YReP2 structure, from the Alexandria database.

Computed properties:
- Size of the total moment: 1.17 Bohr magnetons per cell
- Energy above the most stable polymorph in this dataset: 0.754 eV per atom

Lattice parameters (Å, degrees): 5.634 5.634 5.634 141.24 141.24 55.98
Positions (direct):
Y (0.000, 0.000, 0.000)
Re (0.750, 0.250, 0.500)
P (0.250, 0.750, 0.500)
P (0.500, 0.500, 0.000)

---

The following is a PBE calculation of a geometry-optimized ZnRe2P structure, from the Alexandria database.

Computed properties:
- Size of the total moment: 0.00 Bohr magnetons per cell
- Energy above the most stable polymorph in this dataset: 0.271 eV per atom

Lattice parameters (Å, degrees): 4.217 4.217 3.042 90.00 90.00 90.00
Positions (direct):
Zn (0.000, 0.000, 0.000)
Re (0.000, 0.500, 0.500)
Re (0.500, 0.000, 0.500)
P (0.500, 0.500, 0.000)

---

The following is a PBE calculation of a geometry-optimized ZnRe2P structure, from the Alexandria database.

Computed properties:
- Size of the total moment: 0.00 Bohr magnetons per cell
- Energy above the most stable polymorph in this dataset: 0.250 eV per atom

Lattice parameters (Å, degrees): 4.238 4.238 4.238 60.00 60.00 60.00
Positions (direct):
Zn (0.000, 0.000, 0.000)
Re (0.250, 0.250, 0.250)
Re (0.750, 0.750, 0.750)
P (0.500, 0.500, 0.500)

---

Repeat the first record exactly.
The following is a PBE calculation of a geometry-optimized YReP2 structure, from the Alexandria database.

Computed properties:
- Size of the total moment: 0.00 Bohr magnetons per cell
- Energy above the most stable polymorph in this dataset: 0.018 eV per atom

Lattice parameters (Å, degrees): 3.965 3.965 5.964 104.79 104.79 51.39
Positions (direct):
Y (0.000, 0.000, 0.000)
Re (0.500, 0.500, 0.500)
P (0.241, 0.241, 0.694)
P (0.759, 0.759, 0.306)